Sr2TaRh after structural relaxation, computed with PBE.

```
data_Sr2TaRh
_space_group_name_H-M_alt 'I 4/m m m'
_space_group_IT_number 139
_space_group_name_Hall '-I 4 2'
_cell_length_a 4.215
_cell_length_b 4.215
_cell_length_c 10.672
_cell_angle_alpha 90.00
_cell_angle_beta 90.00
_cell_angle_gamma 90.00
loop_
_atom_site_label
_atom_site_fract_x
_atom_site_fract_y
_atom_site_fract_z
Sr1 0.000 0.500 0.250
Ta1 0.000 0.000 0.000
Rh1 0.000 0.000 0.500
```

Output
Electronic total energy in eV per cell: -38.8



BaCd2Ru2O7 after structural relaxation, computed with PBE.

```
data_BaCd2Ru2O7
_space_group_name_H-M_alt 'I m m 2'
_space_group_IT_number 44
_cell_length_a 3.787
_cell_length_b 19.020
_cell_length_c 4.720
_cell_angle_alpha 90.00
_cell_angle_beta 90.00
_cell_angle_gamma 90.00
loop_
_space_group_symop_operation_xyz
'x,y,z'
'-x,-y,z'
'-x,y,z'
'x,-y,z'
'x+1/2,y+1/2,z+1/2'
'-x+1/2,-y+1/2,z+1/2'
'-x+1/2,y+1/2,z+1/2'
'x+1/2,-y+1/2,z+1/2'
loop_
_atom_site_label
_atom_site_fract_x
_atom_site_fract_y
_atom_site_fract_z
Ba1 0.000 0.000 0.000
Cd1 0.000 0.281 0.536
Ru1 0.000 0.396 0.014
O1 0.000 0.104 0.488
O2 0.000 0.285 0.034
O3 0.000 0.397 0.434
O4 0.000 0.500 0.927
```

Output
Uncorrected formation energy in kcal/mol of atoms: -27.38
Electronic total energy in eV per cell: -142.5



HoZr2Ru3 after structural relaxation, computed with PBE.

```
data_HoZr2Ru3
_space_group_name_H-M_alt 'P 4/m m m'
_space_group_IT_number 123
_space_group_name_Hall '-P 4 2'
_cell_length_a 3.304
_cell_length_b 3.304
_cell_length_c 9.997
_cell_angle_alpha 90.00
_cell_angle_beta 90.00
_cell_angle_gamma 90.00
loop_
_atom_site_label
_atom_site_fract_x
_atom_site_fract_y
_atom_site_fract_z
Ho1 0.000 0.000 0.000
Zr1 0.000 0.000 0.335
Ru1 0.500 0.500 0.181
Ru2 0.500 0.500 0.500
```

Output
Electronic total energy in eV per cell: -53.1



LaTbHoCd after structural relaxation, computed with PBE.

```
data_LaTbHoCd
_space_group_name_H-M_alt 'P 4 m m'
_space_group_IT_number 99
_cell_length_a 3.686
_cell_length_b 3.686
_cell_length_c 8.905
_cell_angle_alpha 90.00
_cell_angle_beta 90.00
_cell_angle_gamma 90.00
loop_
_space_group_symop_operation_xyz
'x,y,z'
'-y,x,z'
'-x,-y,z'
'y,-x,z'
'-x,y,z'
'y,x,z'
'x,-y,z'
'-y,-x,z'
loop_
_atom_site_label
_atom_site_fract_x
_atom_site_fract_y
_atom_site_fract_z
La1 0.000 0.000 0.000
Tb1 0.500 0.500 0.716
Ho1 0.500 0.500 0.281
Cd1 0.000 0.000 0.496
```

Output
Electronic total energy in eV per cell: -15.6